Compound: LaRe2Ru
Source: Alexandria
Functional: PBE
Structure: optimized geometry

POSCAR file:
```
LaRe2Ru
1.0
0.000 3.277 3.277
3.277 0.000 3.277
3.277 3.277 0.000
La Re Ru
1 2 1
Direct
0.000 0.000 0.000 La
0.250 0.250 0.250 Re
0.750 0.750 0.750 Re
0.500 0.500 0.500 Ru
```

Calculated values
SG   Fm-3m
DOS(E_F)   8.99 states/eV/cell
Formation energy   0.81 eV per atom

Compound: LaRe2Ru
Source: Alexandria
Functional: PBE
Structure: optimized geometry

POSCAR file:
```
LaRe2Ru
1.0
2.822 0.000 0.000
0.000 2.822 0.000
0.000 0.000 8.931
La Re Ru
1 2 1
Direct
0.000 0.000 0.000 La
0.500 0.500 0.295 Re
0.500 0.500 0.705 Re
0.000 0.000 0.500 Ru
```

Calculated values
SG   P4/mmm
DOS(E_F)   3.71 states/eV/cell
Formation energy   0.44 eV per atom

Compound: LaRe2Ru
Source: Alexandria
Functional: PBE
Structure: optimized geometry

POSCAR file:
```
LaRe2Ru
1.0
5.168 -1.462 0.000
5.168 1.462 0.000
-1.080 0.000 4.810
La Re Ru
1 2 1
Direct
0.000 0.000 0.000 La
0.220 0.220 0.700 Re
0.780 0.780 0.300 Re
0.500 0.500 0.500 Ru
```

Calculated values
SG   C2/m
DOS(E_F)   3.05 states/eV/cell
Formation energy   0.43 eV per atom

Compound: LaRe2Ru
Source: Alexandria
Functional: PBE
Structure: optimized geometry

POSCAR file:
```
LaRe2Ru
1.0
3.100 0.000 0.000
0.000 3.100 0.000
0.000 0.000 7.674
La Re Ru
1 2 1
Direct
0.000 0.000 0.000 La
0.000 0.000 0.495 Re
0.500 0.500 0.311 Re
0.500 0.500 0.702 Ru
```

Calculated values
SG   P4mm
DOS(E_F)   5.03 states/eV/cell
Formation energy   0.26 eV per atom

no.,uncorrected energy (eV per atom)
1,-8.964
2,-9.337
3,-9.341
4,-9.514